# 1
# CeScH (PBE-GGA, relaxed)
# **Raw total energy**: -5.407 eV per atom
data_CeScH
_chemical_formula_sum 'Ce1 Sc1 H1'
_space_group_name_H-M_alt 'P 3 m 1'
_space_group_IT_number 156
_cell_length_a 3.2661
_cell_length_b 3.2661
_cell_length_c 5.7293
_cell_angle_alpha 90.00
_cell_angle_beta 90.00
_cell_angle_gamma 120.00
loop_
_space_group_symop_operation_xyz
'x,y,z'
'-y,x-y,z'
'-x+y,-x,z'
'-y,-x,z'
'-x+y,y,z'
'x,x-y,z'
loop_
_atom_site_label
_atom_site_type_symbol
_atom_site_fract_x
_atom_site_fract_y
_atom_site_fract_z
_atom_site_occupancy
Ce1 Ce 0.0000 0.0000 0.0000 1
Sc1 Sc 0.6667 0.3333 0.5007 1
H1 H 0.3333 0.6667 0.7097 1

***

# 2
# YInMo3 (PBE-GGA, relaxed)
# **Raw total energy**: -6.507 eV per atom
data_YInMo3
_chemical_formula_sum 'Y1 In1 Mo3'
_space_group_name_H-M_alt 'P m -3 m'
_space_group_IT_number 221
_space_group_name_Hall '-P 4 2 3'
_cell_length_a 4.953
_cell_length_b 4.953
_cell_length_c 4.953
_cell_angle_alpha 90.00
_cell_angle_beta 90.00
_cell_angle_gamma 90.00
loop_
_atom_site_label
_atom_site_type_symbol
_atom_site_fract_x
_atom_site_fract_y
_atom_site_fract_z
_atom_site_occupancy
Y1 Y 0.000 0.000 0.000 1
In1 In 0.500 0.500 0.500 1
Mo1 Mo 0.000 0.500 0.500 1

***

# 3
# La6Ga2I3Cl (PBE-GGA, relaxed)
# **Energy relative to the elements, uncorrected**: -1.0156 eV per atom
# **Raw total energy**: -4.525 eV per atom
data_La6Ga2I3Cl
_chemical_formula_sum 'La12 Ga4 I6 Cl2'
_space_group_name_H-M_alt 'C 1 2/m 1'
_space_group_IT_number 12
_cell_length_a 7.562
_cell_length_b 13.138
_cell_length_c 8.261
_cell_angle_alpha 90.00
_cell_angle_beta 107.87
_cell_angle_gamma 90.00
loop_
_space_group_symop_operation_xyz
'x,y,z'
'-x,-y,-z'
'-x,y,-z'
'x,-y,z'
'x+1/2,y+1/2,z'
'-x+1/2,-y+1/2,-z'
'-x+1/2,y+1/2,-z'
'x+1/2,-y+1/2,z'
loop_
_atom_site_label
_atom_site_type_symbol
_atom_site_fract_x
_atom_site_fract_y
_atom_site_fract_z
_atom_site_occupancy
La1 La 0.235 0.000 0.208 1
La2 La 0.237 0.333 0.209 1
Ga1 Ga 0.000 0.166 0.000 1
I1 I 0.000 0.000 0.500 1
I2 I 0.000 0.331 0.500 1
Cl1 Cl 0.000 0.500 0.000 1

***

# 4
# NaAsO (PBE-GGA, relaxed)
# **Energy relative to the elements, uncorrected**: -1.0788 eV per atom
# **Raw total energy**: -4.721 eV per atom
data_NaAsO
_chemical_formula_sum 'Na2 As2 O2'
_space_group_name_H-M_alt 'P 1 m 1'
_space_group_IT_number 6
_cell_length_a 5.311
_cell_length_b 3.145
_cell_length_c 6.320
_cell_angle_alpha 90.00
_cell_angle_beta 93.13
_cell_angle_gamma 90.00
loop_
_space_group_symop_operation_xyz
'x,y,z'
'x,-y,z'
loop_
_atom_site_label
_atom_site_type_symbol
_atom_site_fract_x
_atom_site_fract_y
_atom_site_fract_z
_atom_site_occupancy
Na1 Na 0.000 0.000 0.000 1
Na2 Na 0.002 0.000 0.500 1
As1 As 0.480 0.500 0.800 1
As2 As 0.522 0.500 0.203 1
O1 O 0.145 0.500 0.759 1
O2 O 0.857 0.500 0.242 1

***

# 5
# Nd2DyIn4 (PBE-GGA, relaxed)
# **Raw total energy**: -3.456 eV per atom
data_Nd2DyIn4
_chemical_formula_sum 'Nd4 Dy2 In8'
_space_group_name_H-M_alt 'I 4/m m m'
_space_group_IT_number 139
_space_group_name_Hall '-I 4 2'
_cell_length_a 5.653
_cell_length_b 5.653
_cell_length_c 16.095
_cell_angle_alpha 90.00
_cell_angle_beta 90.00
_cell_angle_gamma 90.00
loop_
_atom_site_label
_atom_site_type_symbol
_atom_site_fract_x
_atom_site_fract_y
_atom_site_fract_z
_atom_site_occupancy
Nd1 Nd 0.000 0.000 0.110 1
Dy1 Dy 0.000 0.000 0.500 1
In1 In 0.000 0.000 0.312 1
In2 In 0.000 0.500 0.000 1

***

# 6
# Be2NiMo (PBE-GGA, relaxed)
# **Raw total energy**: -5.965 eV per atom
data_Be2NiMo
_chemical_formula_sum 'Be4 Ni2 Mo2'
_space_group_name_H-M_alt 'C 1 2/m 1'
_space_group_IT_number 12
_cell_length_a 6.925
_cell_length_b 2.531
_cell_length_c 5.053
_cell_angle_alpha 90.00
_cell_angle_beta 97.30
_cell_angle_gamma 90.00
loop_
_space_group_symop_operation_xyz
'x,y,z'
'-x,-y,-z'
'-x,y,-z'
'x,-y,z'
'x+1/2,y+1/2,z'
'-x+1/2,-y+1/2,-z'
'-x+1/2,y+1/2,-z'
'x+1/2,-y+1/2,z'
loop_
_atom_site_label
_atom_site_type_symbol
_atom_site_fract_x
_atom_site_fract_y
_atom_site_fract_z
_atom_site_occupancy
Be1 Be 0.242 0.000 0.199 1
Ni1 Ni 0.000 0.500 0.000 1
Mo1 Mo 0.000 0.000 0.500 1

***

# 7
# KYN2 (PBE-GGA, relaxed)
# **Energy relative to the elements, uncorrected**: 0.9600 eV per atom
# **Raw total energy**: -5.093 eV per atom
data_KYN2
_chemical_formula_sum 'K3 Y3 N6'
_space_group_name_H-M_alt 'R -3 m'
_space_group_IT_number 166
_space_group_name_Hall '-R 3 2"'
_cell_length_a 4.3114
_cell_length_b 4.3114
_cell_length_c 20.9148
_cell_angle_alpha 90.00
_cell_angle_beta 90.00
_cell_angle_gamma 120.00
loop_
_atom_site_label
_atom_site_type_symbol
_atom_site_fract_x
_atom_site_fract_y
_atom_site_fract_z
_atom_site_occupancy
K1 K 0.0000 0.0000 0.0000 1
Y1 Y 0.0000 0.0000 0.5000 1
N1 N 0.0000 0.0000 0.4080 1

***

# 8
# PmAl8Rh4 (PBE-GGA, relaxed)
# **Raw total energy**: -5.734 eV per atom
data_PmAl8Rh4
_chemical_formula_sum 'Pm2 Al16 Rh8'
_space_group_name_H-M_alt 'I 4/m m m'
_space_group_IT_number 139
_space_group_name_Hall '-I 4 2'
_cell_length_a 8.728
_cell_length_b 8.728
_cell_length_c 5.476
_cell_angle_alpha 90.00
_cell_angle_beta 90.00
_cell_angle_gamma 90.00
loop_
_atom_site_label
_atom_site_type_symbol
_atom_site_fract_x
_atom_site_fract_y
_atom_site_fract_z
_atom_site_occupancy
Pm1 Pm 0.000 0.000 0.000 1
Al1 Al 0.000 0.225 0.500 1
Al2 Al 0.000 0.344 0.000 1
Rh1 Rh 0.250 0.250 0.250 1

***

# 9
# NdDy7Tm12 (PBE-GGA, relaxed)
# **Raw total energy**: -4.218 eV per atom
data_NdDy7Tm12
_chemical_formula_sum 'Nd3 Dy21 Tm36'
_space_group_name_H-M_alt 'R -3'
_space_group_IT_number 148
_space_group_name_Hall '-R 3'
_cell_length_a 12.7040
_cell_length_b 12.7040
_cell_length_c 13.4606
_cell_angle_alpha 90.00
_cell_angle_beta 90.00
_cell_angle_gamma 120.00
loop_
_atom_site_label
_atom_site_type_symbol
_atom_site_fract_x
_atom_site_fract_y
_atom_site_fract_z
_atom_site_occupancy
Nd1 Nd 0.0000 0.0000 0.0000 1
Dy1 Dy 0.0000 0.0000 0.5000 1
Dy2 Dy 0.0681 0.2027 0.8512 1
Tm1 Tm 0.0050 0.5677 0.2463 1
Tm2 Tm 0.0681 0.8686 0.3454 1

***

# 10
# PuHg4H2 (PBE-GGA, relaxed)
# **Raw total energy**: -2.948 eV per atom
data_PuHg4H2
_chemical_formula_sum 'Pu2 Hg8 H4'
_space_group_name_H-M_alt 'C m m m'
_space_group_IT_number 65
_space_group_name_Hall '-C 2 2'
_cell_length_a 4.940
_cell_length_b 17.036
_cell_length_c 3.163
_cell_angle_alpha 90.00
_cell_angle_beta 90.00
_cell_angle_gamma 90.00
loop_
_atom_site_label
_atom_site_type_symbol
_atom_site_fract_x
_atom_site_fract_y
_atom_site_fract_z
_atom_site_occupancy
Pu1 Pu 0.000 0.000 0.000 1
Hg1 Hg 0.000 0.189 0.000 1
Hg2 Hg 0.000 0.398 0.500 1
H1 H 0.000 0.272 0.500 1

***

# 11
# CsAlPt3 (PBE-GGA, relaxed)
# **Raw total energy**: -2.592 eV per atom
data_CsAlPt3
_chemical_formula_sum 'Cs1 Al1 Pt3'
_space_group_name_H-M_alt 'P m -3 m'
_space_group_IT_number 221
_space_group_name_Hall '-P 4 2 3'
_cell_length_a 5.240
_cell_length_b 5.240
_cell_length_c 5.240
_cell_angle_alpha 90.00
_cell_angle_beta 90.00
_cell_angle_gamma 90.00
loop_
_atom_site_label
_atom_site_type_symbol
_atom_site_fract_x
_atom_site_fract_y
_atom_site_fract_z
_atom_site_occupancy
Cs1 Cs 0.000 0.000 0.000 1
Al1 Al 0.500 0.500 0.500 1
Pt1 Pt 0.000 0.000 0.500 1

***

# 12
# Nd6SbTe3As2 (PBE-GGA, relaxed)
# **Energy relative to the elements, uncorrected**: -1.4731 eV per atom
# **Raw total energy**: -5.761 eV per atom
data_Nd6SbTe3As2
_chemical_formula_sum 'Nd12 Sb2 Te6 As4'
_space_group_name_H-M_alt 'C 1 2/m 1'
_space_group_IT_number 12
_cell_length_a 19.450
_cell_length_b 4.398
_cell_length_c 8.939
_cell_angle_alpha 90.00
_cell_angle_beta 104.42
_cell_angle_gamma 90.00
loop_
_space_group_symop_operation_xyz
'x,y,z'
'-x,-y,-z'
'-x,y,-z'
'x,-y,z'
'x+1/2,y+1/2,z'
'-x+1/2,-y+1/2,-z'
'-x+1/2,y+1/2,-z'
'x+1/2,-y+1/2,z'
loop_
_atom_site_label
_atom_site_type_symbol
_atom_site_fract_x
_atom_site_fract_y
_atom_site_fract_z
_atom_site_occupancy
Nd1 Nd 0.010 0.000 0.251 1
Nd2 Nd 0.168 0.500 0.108 1
Nd3 Nd 0.174 0.500 0.568 1
Sb1 Sb 0.000 0.500 0.000 1
Te1 Te 0.000 0.500 0.500 1
Te2 Te 0.163 0.000 0.833 1
As1 As 0.168 0.000 0.335 1

***

# 13
# LiDy3Te4 (PBE-GGA, relaxed)
# **Energy relative to the elements, uncorrected**: -1.3047 eV per atom
# **Raw total energy**: -4.841 eV per atom
data_LiDy3Te4
_chemical_formula_sum 'Li2 Dy6 Te8'
_space_group_name_H-M_alt 'I 4/m m m'
_space_group_IT_number 139
_space_group_name_Hall '-I 4 2'
_cell_length_a 6.132
_cell_length_b 6.132
_cell_length_c 12.247
_cell_angle_alpha 90.00
_cell_angle_beta 90.00
_cell_angle_gamma 90.00
loop_
_atom_site_label
_atom_site_type_symbol
_atom_site_fract_x
_atom_site_fract_y
_atom_site_fract_z
_atom_site_occupancy
Li1 Li 0.000 0.000 0.000 1
Dy1 Dy 0.000 0.000 0.500 1
Dy2 Dy 0.000 0.500 0.250 1
Te1 Te 0.000 0.000 0.243 1
Te2 Te 0.000 0.500 0.000 1

***

# 14
# LiCd2NiSn (PBE-GGA, relaxed)
# **Raw total energy**: -2.295 eV per atom
data_LiCd2NiSn
_chemical_formula_sum 'Li1 Cd2 Ni1 Sn1'
_space_group_name_H-M_alt 'P 4/m m m'
_space_group_IT_number 123
_space_group_name_Hall '-P 4 2'
_cell_length_a 4.814
_cell_length_b 4.814
_cell_length_c 4.379
_cell_angle_alpha 90.00
_cell_angle_beta 90.00
_cell_angle_gamma 90.00
loop_
_atom_site_label
_atom_site_type_symbol
_atom_site_fract_x
_atom_site_fract_y
_atom_site_fract_z
_atom_site_occupancy
Li1 Li 0.000 0.000 0.000 1
Cd1 Cd 0.000 0.500 0.000 1
Ni1 Ni 0.000 0.000 0.500 1
Sn1 Sn 0.500 0.500 0.500 1

***

# 15
# ReHgIr2Os (PBE-GGA, relaxed)
# **Raw total energy**: -6.438 eV per atom
data_ReHgIr2Os
_chemical_formula_sum 'Re1 Hg1 Ir2 Os1'
_space_group_name_H-M_alt 'P 4/m m m'
_space_group_IT_number 123
_space_group_name_Hall '-P 4 2'
_cell_length_a 4.769
_cell_length_b 4.769
_cell_length_c 4.731
_cell_angle_alpha 90.00
_cell_angle_beta 90.00
_cell_angle_gamma 90.00
loop_
_atom_site_label
_atom_site_type_symbol
_atom_site_fract_x
_atom_site_fract_y
_atom_site_fract_z
_atom_site_occupancy
Re1 Re 0.000 0.000 0.000 1
Hg1 Hg 0.500 0.500 0.000 1
Ir1 Ir 0.000 0.500 0.500 1
Os1 Os 0.000 0.000 0.500 1

***

# 16
# NdU2Se5 (PBE-GGA, relaxed)
# **Energy relative to the elements, uncorrected**: -1.3327 eV per atom
# **Raw total energy**: -6.929 eV per atom
data_NdU2Se5
_chemical_formula_sum 'Nd4 U8 Se20'
_space_group_name_H-M_alt 'I 4/m c m'
_space_group_IT_number 140
_space_group_name_Hall '-I 4 2c'
_cell_length_a 7.440
_cell_length_b 7.440
_cell_length_c 13.659
_cell_angle_alpha 90.00
_cell_angle_beta 90.00
_cell_angle_gamma 90.00
loop_
_atom_site_label
_atom_site_type_symbol
_atom_site_fract_x
_atom_site_fract_y
_atom_site_fract_z
_atom_site_occupancy
Nd1 Nd 0.000 0.000 0.250 1
U1 U 0.116 0.384 0.000 1
Se1 Se 0.000 0.000 0.000 1
Se2 Se 0.171 0.329 0.355 1

***

# 17
# Nd8TcHg2 (PBE-GGA, relaxed)
# **Raw total energy**: -4.598 eV per atom
data_Nd8TcHg2
_chemical_formula_sum 'Nd16 Tc2 Hg4'
_space_group_name_H-M_alt 'C 1 2/m 1'
_space_group_IT_number 12
_cell_length_a 18.001
_cell_length_b 5.455
_cell_length_c 7.146
_cell_angle_alpha 90.00
_cell_angle_beta 107.53
_cell_angle_gamma 90.00
loop_
_space_group_symop_operation_xyz
'x,y,z'
'-x,-y,-z'
'-x,y,-z'
'x,-y,z'
'x+1/2,y+1/2,z'
'-x+1/2,-y+1/2,-z'
'-x+1/2,y+1/2,-z'
'x+1/2,-y+1/2,z'
loop_
_atom_site_label
_atom_site_type_symbol
_atom_site_fract_x
_atom_site_fract_y
_atom_site_fract_z
_atom_site_occupancy
Nd1 Nd 0.021 0.000 0.286 1
Nd2 Nd 0.091 0.500 0.929 1
Nd3 Nd 0.153 0.500 0.455 1
Nd4 Nd 0.198 0.000 0.790 1
Tc1 Tc 0.000 0.500 0.500 1
Hg1 Hg 0.184 0.000 0.211 1

***

# 18
# Pm5Sm8Tl (PBE-GGA, relaxed)
# **Raw total energy**: -4.467 eV per atom
data_Pm5Sm8Tl
_chemical_formula_sum 'Pm10 Sm16 Tl2'
_space_group_name_H-M_alt 'C 1 2 1'
_space_group_IT_number 5
_cell_length_a 12.986
_cell_length_b 11.175
_cell_length_c 9.176
_cell_angle_alpha 90.00
_cell_angle_beta 134.45
_cell_angle_gamma 90.00
loop_
_space_group_symop_operation_xyz
'x,y,z'
'-x,y,-z'
'x+1/2,y+1/2,z'
'-x+1/2,y+1/2,-z'
loop_
_atom_site_label
_atom_site_type_symbol
_atom_site_fract_x
_atom_site_fract_y
_atom_site_fract_z
_atom_site_occupancy
Pm1 Pm 0.000 0.000 0.000 1
Pm2 Pm 0.160 0.501 0.361 1
Pm3 Pm 0.215 0.312 0.138 1
Sm1 Sm 0.066 0.217 0.340 1
Sm2 Sm 0.066 0.784 0.340 1
Sm3 Sm 0.157 0.501 0.752 1
Sm4 Sm 0.214 0.689 0.138 1
Tl1 Tl 0.000 0.001 0.500 1

***

# 19
# Pm2SmS4 (PBE-GGA, relaxed)
# **Energy relative to the elements, uncorrected**: -2.0375 eV per atom
# **Raw total energy**: -6.428 eV per atom
data_Pm2SmS4
_chemical_formula_sum 'Pm8 Sm4 S16'
_space_group_name_H-M_alt 'C m c m'
_space_group_IT_number 63
_space_group_name_Hall '-C 2c 2'
_cell_length_a 3.908
_cell_length_b 13.367
_cell_length_c 13.409
_cell_angle_alpha 90.00
_cell_angle_beta 90.00
_cell_angle_gamma 90.00
loop_
_atom_site_label
_atom_site_type_symbol
_atom_site_fract_x
_atom_site_fract_y
_atom_site_fract_z
_atom_site_occupancy
Pm1 Pm 0.000 0.129 0.071 1
Sm1 Sm 0.000 0.374 0.250 1
S1 S 0.000 0.025 0.250 1
S2 S 0.000 0.223 0.623 1
S3 S 0.000 0.500 0.000 1

***

# 20
# AlZn3Pd12 (PBE-GGA, relaxed)
# **Raw total energy**: -4.739 eV per atom
data_AlZn3Pd12
_chemical_formula_sum 'Al1 Zn3 Pd12'
_space_group_name_H-M_alt 'P 4/m m m'
_space_group_IT_number 123
_space_group_name_Hall '-P 4 2'
_cell_length_a 3.909
_cell_length_b 3.909
_cell_length_c 15.665
_cell_angle_alpha 90.00
_cell_angle_beta 90.00
_cell_angle_gamma 90.00
loop_
_atom_site_label
_atom_site_type_symbol
_atom_site_fract_x
_atom_site_fract_y
_atom_site_fract_z
_atom_site_occupancy
Al1 Al 0.000 0.000 0.000 1
Zn1 Zn 0.000 0.000 0.250 1
Zn2 Zn 0.000 0.000 0.500 1
Pd1 Pd 0.000 0.500 0.123 1
Pd2 Pd 0.000 0.500 0.375 1
Pd3 Pd 0.500 0.500 0.000 1
Pd4 Pd 0.500 0.500 0.249 1
Pd5 Pd 0.500 0.500 0.500 1